YRe3, single point on PBEsol structure, DFT meta-GGA SCAN; symmetry = No. 166; formation enthalpy at 0 K = 0.35 eV per atom; Fermi-level density of states = 3.1 states/eV/cell; calculated density = 16.51 g/cm³
1.0
2.763 0.000 0.000
-0.921 5.216 0.000
-0.921 -2.608 4.518
Re Y
3 1
direct
0.500 0.500 0.500
0.000 0.000 0.500
0.000 0.500 0.000
0.500 0.000 0.000